Entry 1:
Compound: Y2Sb2Pb
Source: Alexandria via LeMat-Bulk
Functional: PBE-GGA
Structure: relaxed

a = 5.8404 Å, b = 5.8404 Å, c = 6.2640 Å
α = 62.21°, β = 62.21°, γ = 90.00°
Closest atoms and distances in Å follow each position.
Sites, in units of the cell vectors:
Sb (0.6576, 0.6576, 0.6848)  1 Sb 2.97, 4 Y 3.05, 1 Pb 3.23
Y (0.7500, 0.2500, 0.5000)  4 Sb 3.05
Pb (0.0000, 0.0000, 0.0000)  2 Sb 3.23
Sb (0.3424, 0.3424, 0.3152)  1 Sb 2.97, 4 Y 3.05, 1 Pb 3.23
Y (0.2500, 0.7500, 0.5000)  4 Sb 3.05

Properties
Crystal system = tetragonal
Space-group type = I4/mmm, No. 139
ΔE to the lowest computed polymorph = 230 meV/atom

***

Entry 2:
Compound: Y8Sb5Pb
Source: Alexandria via LeMat-Bulk
Functional: PBE-GGA
Structure: relaxed

a = 8.0077 Å, b = 8.0077 Å, c = 8.0077 Å
α = 109.39°, β = 109.63°, γ = 109.39°
Closest atoms and distances in Å follow each position.
Sites, in units of the cell vectors:
Y (0.1230, 0.7499, 0.5167)  5 Sb 3.07-3.32, 1 Pb 3.33
Pb (0.2500, 0.5000, 0.7500)  8 Y 3.12-3.33
Y (0.1242, 0.7533, 0.0216)  5 Sb 3.08-3.32, 1 Pb 3.12
Y (0.2682, 0.2467, 0.3709)  5 Sb 3.08-3.32, 1 Pb 3.12
Y (0.6269, 0.3937, 0.8770)  5 Sb 3.07-3.32, 1 Pb 3.33
Sb (0.8739, 0.8756, 0.2502)  8 Y 3.07-3.32
Sb (0.7498, 0.6238, 0.6255)  8 Y 3.07-3.32
Sb (0.0017, 0.3762, 0.1261)  8 Y 3.07-3.32
Y (0.4833, 0.6063, 0.2331)  5 Sb 3.07-3.32, 1 Pb 3.33
Y (0.6291, 0.8974, 0.8758)  5 Sb 3.08-3.32, 1 Pb 3.12
Sb (0.3745, 0.1244, 0.9983)  8 Y 3.07-3.32
Y (0.9784, 0.1026, 0.7318)  5 Sb 3.08-3.32, 1 Pb 3.12
Y (0.7669, 0.2501, 0.3731)  5 Sb 3.07-3.32, 1 Pb 3.33
Sb (0.5000, 0.0000, 0.5000)  8 Y 3.09-3.30

Properties
Crystal system = tetragonal
Space-group type = I-4, No. 82

***

Entry 3:
Compound: YSb2Pb2
Source: Alexandria via LeMat-Bulk
Functional: PBE-GGA
Structure: relaxed

a = 8.4782 Å, b = 8.4782 Å, c = 4.2117 Å
α = 90.00°, β = 90.00°, γ = 90.00°
Closest atoms and distances in Å follow each position.
Sites, in units of the cell vectors:
Sb (0.3184, 0.1816, 0.5000)  6 Pb 3.07-3.42
Sb (0.8184, 0.3184, 0.5000)  6 Pb 3.07-3.42
Pb (0.6324, 0.1324, 0.0000)  6 Sb 3.07-3.42, 1 Pb 3.17, 2 Y 3.31
Pb (0.8676, 0.6324, 0.0000)  6 Sb 3.07-3.42, 1 Pb 3.17, 2 Y 3.31
Y (0.0000, 0.0000, 0.0000)  4 Pb 3.31
Sb (0.6816, 0.8184, 0.5000)  6 Pb 3.07-3.42
Sb (0.1816, 0.6816, 0.5000)  6 Pb 3.07-3.42
Pb (0.1324, 0.3676, 0.0000)  6 Sb 3.07-3.42, 1 Pb 3.17, 2 Y 3.31
Pb (0.3676, 0.8676, 0.0000)  6 Sb 3.07-3.42, 1 Pb 3.17, 2 Y 3.31
Y (0.5000, 0.5000, 0.0000)  4 Pb 3.31

Properties
Crystal system = tetragonal
Space-group type = P4/mbm, No. 127

***

Entry 4:
Compound: Y2SbPb
Source: Alexandria via LeMat-Bulk
Functional: PBE-GGA
Structure: relaxed

a = 3.4124 Å, b = 3.4124 Å, c = 10.5974 Å
α = 90.00°, β = 90.00°, γ = 90.00°
Closest atoms and distances in Å follow each position.
Sites, in units of the cell vectors:
Sb (0.5000, 0.5000, 0.7772)  4 Y 3.29, 4 Sb 3.41
Pb (0.0000, 0.0000, 0.4841)  4 Pb 3.41, 4 Y 3.46
Y (0.5000, 0.5000, 0.2503)  8 Y 3.41-3.68, 4 Pb 3.46
Y (0.0000, 0.0000, 0.9884)  4 Sb 3.29, 8 Y 3.41-3.68

Properties
Crystal system = tetragonal
Space-group type = P4mm, No. 99
ΔE to the lowest computed polymorph = 637 meV/atom

***

Entry 5:
Compound: Y2SbPb
Source: Alexandria via LeMat-Bulk
Functional: PBE-GGA
Structure: relaxed

a = 10.9803 Å, b = 10.9803 Å, c = 10.9803 Å
α = 18.87°, β = 18.87°, γ = 18.87°
Closest atoms and distances in Å follow each position.
Sites, in units of the cell vectors:
Y (0.2488, 0.2488, 0.2488)  3 Pb 3.42, 9 Y 3.56-3.60
Y (0.0047, 0.0047, 0.0047)  3 Sb 3.25, 9 Y 3.56-3.60
Sb (0.7485, 0.7485, 0.7485)  3 Y 3.25, 3 Pb 3.39, 6 Sb 3.60
Pb (0.4980, 0.4980, 0.4980)  3 Sb 3.39, 3 Y 3.42, 6 Pb 3.60

Properties
Crystal system = trigonal
Space-group type = R3m, No. 160
ΔE to the lowest computed polymorph = 701 meV/atom

***

Entry 6:
Compound: Y5Sb2Pb2
Source: Alexandria via LeMat-Bulk
Functional: PBE-GGA
Structure: relaxed

a = 8.2482 Å, b = 8.2205 Å, c = 8.7689 Å
α = 117.95°, β = 90.00°, γ = 90.00°
Closest atoms and distances in Å follow each position.
Sites, in units of the cell vectors:
Pb (0.6401, 0.8597, 0.0000)  8 Y 3.13-3.30, 1 Pb 3.27
Y (0.3384, 0.6976, 0.7249)  3 Pb 3.13-3.30, 3 Sb 3.13-3.26
Sb (0.5000, 0.2984, 0.5968)  7 Y 3.12-3.26
Y (0.6616, 0.0273, 0.7249)  3 Pb 3.13-3.30, 3 Sb 3.13-3.26
Sb (0.0000, 0.7984, 0.5968)  7 Y 3.12-3.26
Y (0.6616, 0.3024, 0.2751)  3 Pb 3.13-3.30, 3 Sb 3.13-3.26
Pb (0.3599, 0.1403, 0.0000)  8 Y 3.13-3.30, 1 Pb 3.27
Y (0.0000, 0.0000, 0.0000)  2 Sb 3.12, 4 Pb 3.18
Y (0.1616, 0.1976, 0.7249)  3 Pb 3.13-3.30, 3 Sb 3.13-3.26
Y (0.1616, 0.4727, 0.2751)  3 Pb 3.13-3.30, 3 Sb 3.13-3.26
Y (0.3384, 0.9727, 0.2751)  3 Pb 3.13-3.30, 3 Sb 3.13-3.26
Pb (0.8599, 0.3597, 0.0000)  8 Y 3.13-3.30, 1 Pb 3.27
Sb (0.0000, 0.2016, 0.4032)  7 Y 3.12-3.26
Y (0.8384, 0.5273, 0.7249)  3 Pb 3.13-3.30, 3 Sb 3.13-3.26
Sb (0.5000, 0.7016, 0.4032)  7 Y 3.12-3.26
Y (0.8384, 0.8024, 0.2751)  3 Pb 3.13-3.30, 3 Sb 3.13-3.26
Pb (0.1401, 0.6403, 0.0000)  8 Y 3.13-3.30, 1 Pb 3.27
Y (0.5000, 0.5000, 0.0000)  2 Sb 3.12, 4 Pb 3.18

Properties
Crystal system = orthorhombic
Space-group type = Cmce, No. 64

***

These records have raw formation energy values of -495 -949 -72 -205 -141 -829 meV/atom, in the order they appear.